# 1
# CuBiMoPd (PBE, optimized geometry)
# **Total energy**: -5.475 eV/atom
# **Volume**: 72.3 Å³/f.u.
# **Energy above the most stable polymorph in this dataset**: 74.4 meV per atom
data_CuBiMoPd
_chemical_formula_sum 'Cu4 Bi4 Mo4 Pd4'
_space_group_name_H-M_alt 'F -4 3 m'
_space_group_IT_number 216
_space_group_name_Hall 'F -4 2 3'
_cell_length_a 6.613
_cell_length_b 6.613
_cell_length_c 6.613
_cell_angle_alpha 90.00
_cell_angle_beta 90.00
_cell_angle_gamma 90.00
loop_
_atom_site_label
_atom_site_fract_x
_atom_site_fract_y
_atom_site_fract_z
Cu1 0.000 0.000 0.000
Bi1 0.250 0.250 0.750
Mo1 0.250 0.250 0.250
Pd1 0.000 0.000 0.500

***

# 2
# Na3NiH5 (PBE, optimized geometry)
# **Total energy**: -3.099 eV/atom
# **Volume**: 95.4 Å³/f.u.
# **Energy above the most stable polymorph in this dataset**: 0.0 meV per atom
data_Na3NiH5
_chemical_formula_sum 'Na12 Ni4 H20'
_space_group_name_H-M_alt 'P n m a'
_space_group_IT_number 62
_space_group_name_Hall '-P 2ac 2n'
_cell_length_a 10.048
_cell_length_b 7.236
_cell_length_c 5.248
_cell_angle_alpha 90.00
_cell_angle_beta 90.00
_cell_angle_gamma 90.00
loop_
_atom_site_label
_atom_site_fract_x
_atom_site_fract_y
_atom_site_fract_z
Na1 0.063 0.250 0.139
Na2 0.154 0.012 0.673
Ni1 0.116 0.750 0.256
H1 0.001 0.750 0.451
H2 0.097 0.542 0.224
H3 0.182 0.750 0.990
H4 0.247 0.750 0.448

***

# 3
# Tm2InGePt4 (PBE, optimized geometry)
# **Total energy**: -6.032 eV/atom
# **Volume**: 155.1 Å³/f.u.
data_Tm2InGePt4
_chemical_formula_sum 'Tm2 In1 Ge1 Pt4'
_space_group_name_H-M_alt 'P -3 m 1'
_space_group_IT_number 164
_space_group_name_Hall '-P 3 2"'
_cell_length_a 4.4582
_cell_length_b 4.4582
_cell_length_c 9.0102
_cell_angle_alpha 90.00
_cell_angle_beta 90.00
_cell_angle_gamma 120.00
loop_
_atom_site_label
_atom_site_fract_x
_atom_site_fract_y
_atom_site_fract_z
Tm1 0.3333 0.6667 0.2547
In1 0.0000 0.0000 0.0000
Ge1 0.0000 0.0000 0.5000
Pt1 0.3333 0.6667 0.5844
Pt2 0.3333 0.6667 0.9045

***

# 4
# NpB2C (PBE, optimized geometry)
# **Total energy**: -9.115 eV/atom
# **Volume**: 43.2 Å³/f.u.
data_NpB2C
_chemical_formula_sum 'Np9 B18 C9'
_space_group_name_H-M_alt 'R -3 m'
_space_group_IT_number 166
_space_group_name_Hall '-R 3 2"'
_cell_length_a 6.5255
_cell_length_b 6.5255
_cell_length_c 10.5481
_cell_angle_alpha 90.00
_cell_angle_beta 90.00
_cell_angle_gamma 120.00
loop_
_atom_site_label
_atom_site_fract_x
_atom_site_fract_y
_atom_site_fract_z
Np1 0.0000 0.0000 0.0000
Np2 0.0000 0.0000 0.3102
B1 0.0000 0.2709 0.5000
C1 0.0000 0.5000 0.5000

***

The lowest total energy belongs to which entry?
NpB2C